BaAl2Hg | PBE | optimized geometry

Output
E   -2.522 eV/atom
Formation energy from the elements   -9 kJ/mol of atoms
SG   Pmm2 (25)

Cell: 3.543 3.753 7.832 Å, 90.00 90.00 90.00°
Element x y z (fractional)
Al: 0.000 0.000 0.015
Al: 0.500 0.500 0.180
Hg: 0.500 0.500 0.807
Ba: 0.000 0.000 0.498

LiMgCr2 | PBE | optimized geometry

Output
E   -4.994 eV/atom
Formation energy from the elements   67 kJ/mol of atoms
SG   P4/mmm (123)

Cell: 4.653 4.653 3.316 Å, 90.00 90.00 90.00°
Each line ends with the local moment (μB).
Element x y z (fractional)
Cr: 0.000 0.000 0.000  3.68
Cr: 0.500 0.500 0.000  3.68
Li: 0.500 0.000 0.500  0.01
Mg: 0.000 0.500 0.500  -0.02

VZnGa2C | PBE | optimized geometry

Output
E   -4.317 eV/atom
Formation energy from the elements   79 kJ/mol of atoms
SG   P4/mmm (123)

Cell: 4.926 3.863 4.926 Å, 90.00 90.00 90.00°
Element x y z (fractional)
Zn: 0.500 0.500 0.500
C: 0.000 0.500 0.000
Ga: 0.000 0.000 0.500
Ga: 0.500 0.000 0.000
V: 0.000 0.000 0.000

MgTlW2 | PBE | optimized geometry

Output
E   -7.002 eV/atom
Distance to the lowest polymorph of the same formula   0.0 meV per atom
Formation energy from the elements   45 kJ/mol of atoms
SG   P4mm (99)

Cell: 3.350 3.351 6.667 Å, 90.00 90.00 90.00°
Element x y z (fractional)
Mg: 0.000 0.000 0.481
Tl: 0.500 0.500 0.750
W: 0.000 0.000 0.042
W: 0.500 0.500 0.226

KSr2LiPt | PBE | optimized geometry

Output
E   -2.669 eV/atom
Distance to the lowest polymorph of the same formula   87.4 meV per atom
Formation energy from the elements   -18 kJ/mol of atoms
SG   P4/mmm (123)

Cell: 5.905 5.905 6.289 Å, 90.00 90.00 90.00°
Element x y z (fractional)
Sr: 0.000 0.500 0.000
Sr: 0.500 0.000 0.000
K: 0.000 0.000 0.500
Pt: 0.000 0.000 0.000
Li: 0.500 0.500 0.500

Sc3CdBr | PBE | optimized geometry

Output
E   -3.970 eV/atom
Distance to the lowest polymorph of the same formula   482.3 meV per atom
SG   Pm-3m (221)

Cell: 5.374 5.374 5.374 Å, 90.00 90.00 90.00°
Each line ends with the local moment (μB).
Element x y z (fractional)
Sc: 0.000 0.500 0.000  0.29
Sc: 0.000 0.000 0.500  0.27
Sc: 0.500 0.000 0.000  0.42
Br: 0.500 0.500 0.500  0.00
Cd: 0.000 0.000 0.000  0.01

Cr2NiAg | PBE | optimized geometry

Output
E   -6.464 eV/atom
Distance to the lowest polymorph of the same formula   222.1 meV per atom
Formation energy from the elements   49 kJ/mol of atoms
SG   R-3m (166)

Cell: 9.045 9.045 9.045 Å, 16.55 16.55 16.55°
Element x y z (fractional)
Ag: 0.750 0.750 0.750
Cr: 0.992 0.992 0.992
Cr: 0.508 0.508 0.508
Ni: 0.250 0.250 0.250

KH2Pt | PBE | optimized geometry

Output
E   -3.772 eV/atom
Distance to the lowest polymorph of the same formula   0.0 meV per atom
SG   P-1 (2)

Cell: 5.670 5.427 9.847 Å, 89.91 89.98 89.84°
Element x y z (fractional)
K: 0.051 0.501 0.192
K: 0.949 0.499 0.808
K: 0.551 0.000 0.308
K: 0.449 0.000 0.692
H: 0.701 0.999 0.027
H: 0.299 0.001 0.973
H: 0.202 0.499 0.473
H: 0.798 0.501 0.527
H: 0.685 0.499 0.035
H: 0.315 0.501 0.965
H: 0.185 0.999 0.465
H: 0.815 0.001 0.535
Pt: 0.000 0.253 0.500
Pt: 0.000 0.747 0.500
Pt: 0.500 0.247 0.000
Pt: 0.500 0.753 0.000

Cr4Rh5 | PBE | optimized geometry

Output
E   -8.367 eV/atom
Distance to the lowest polymorph of the same formula   0.0 meV per atom
Formation energy from the elements   -1 kJ/mol of atoms
SG   Immm (71)

Cell: 2.745 6.779 6.779 Å, 79.45 78.32 78.32°
Element x y z (fractional)
Cr: 0.334 0.631 0.701
Cr: 0.334 0.034 0.298
Cr: 0.666 0.702 0.966
Cr: 0.666 0.299 0.369
Rh: 0.000 0.016 0.984
Rh: 0.000 0.317 0.683
Rh: 0.000 0.667 0.333
Rh: 0.287 0.379 0.046
Rh: 0.713 0.954 0.621

VGaAu | PBE | optimized geometry

Output
E   -5.312 eV/atom
Formation energy from the elements   -17 kJ/mol of atoms
SG   P4/nmm (129)

Cell: 3.204 3.202 9.666 Å, 90.00 70.66 90.00°
Element x y z (fractional)
V: 0.690 0.248 0.564
V: 0.314 0.748 0.440
Ga: 0.978 0.248 0.275
Ga: 0.026 0.748 0.728
Au: 0.364 0.248 0.890
Au: 0.640 0.748 0.113

SrCu3B | PBE | optimized geometry

Output
E   -4.059 eV/atom
Formation energy from the elements   7 kJ/mol of atoms
SG   Pm-3m (221)

Cell: 4.264 4.264 4.264 Å, 90.00 90.00 90.00°
Element x y z (fractional)
Sr: 0.500 0.500 0.500
B: 0.000 0.000 0.000
Cu: 0.000 0.500 0.000
Cu: 0.000 0.000 0.500
Cu: 0.500 0.000 0.000

MgScTi2Cd | PBE | optimized geometry

Output
E   -3.984 eV/atom
Formation energy from the elements   91 kJ/mol of atoms
SG   P4/mmm (123)

Cell: 5.049 5.218 5.049 Å, 90.00 90.00 90.00°
Each line ends with the local moment (μB).
Element x y z (fractional)
Sc: 0.000 0.500 0.000  0.04
Mg: 0.500 0.500 0.500  0.00
Ti: 0.000 0.000 0.500  0.22
Ti: 0.500 0.000 0.000  0.34
Cd: 0.000 0.000 0.000  0.01

AgN2F2 | PBE | optimized geometry

Output
E   -2.982 eV/atom
Distance to the lowest polymorph of the same formula   2304.6 meV per atom
SG   P4/mmm (123)

Cell: 3.671 3.671 5.126 Å, 90.00 90.00 90.00°
Each line ends with the local moment (μB).
Element x y z (fractional)
N: 0.000 0.500 0.000  1.25
N: 0.500 0.000 0.000  1.25
Ag: 0.500 0.500 0.500  0.12
F: 0.000 0.000 0.000  -0.02
F: 0.000 0.000 0.500  0.11

Zr2AlAu | PBE | optimized geometry

Output
E   -6.506 eV/atom
Formation energy from the elements   -46 kJ/mol of atoms
SG   I4/mmm (139)

Cell: 5.202 5.202 5.202 Å, 131.18 131.18 71.53°
Element x y z (fractional)
Au: 0.750 0.250 0.500
Al: 0.250 0.750 0.500
Zr: 0.000 0.000 0.000
Zr: 0.500 0.500 0.000

KYTe3Pb | PBE | optimized geometry

Output
E   -4.446 eV/atom
SG   P2_1/m (11)

Cell: 4.490 9.715 10.960 Å, 102.69 90.00 90.00°
Element x y z (fractional)
K: 0.250 0.170 0.197
K: 0.750 0.830 0.803
Y: 0.250 0.636 0.153
Y: 0.750 0.364 0.847
Te: 0.750 0.869 0.171
Te: 0.250 0.131 0.829
Te: 0.250 0.651 0.441
Te: 0.750 0.349 0.559
Te: 0.750 0.416 0.134
Te: 0.250 0.584 0.866
Pb: 0.250 0.140 0.556
Pb: 0.750 0.860 0.444

Sr2LiY | PBE | optimized geometry

Output
E   -2.683 eV/atom
Distance to the lowest polymorph of the same formula   114.7 meV per atom
Formation energy from the elements   24 kJ/mol of atoms
SG   Pmmm (47)

Cell: 4.307 6.184 5.904 Å, 90.00 90.00 90.00°
Element x y z (fractional)
Li: 0.000 0.500 0.500
Sr: 0.000 0.000 0.000
Sr: 0.500 0.500 0.000
Y: 0.500 0.000 0.500

K2TcPb | PBE | optimized geometry

Output
E   -3.152 eV/atom
Formation energy from the elements   88 kJ/mol of atoms
SG   C2/m (12)

Cell: 6.774 6.524 3.342 Å, 89.72 61.06 113.28°
Each line ends with the local moment (μB).
Element x y z (fractional)
K: 0.000 0.000 0.000  -0.01
K: 0.500 0.000 0.500  -0.01
Pb: 0.000 0.500 0.500  -0.06
Tc: 0.500 0.500 0.000  2.08

ZrZnIn2 | PBE | optimized geometry

Output
E   -3.891 eV/atom
Formation energy from the elements   -6 kJ/mol of atoms
SG   P4mm (99)

Cell: 3.401 3.401 7.542 Å, 90.00 90.00 90.01°
Element x y z (fractional)
In: 0.000 0.000 0.993
In: 0.500 0.500 0.279
Zn: 0.000 0.000 0.508
Zr: 0.500 0.500 0.720

BaGaPb2O4 | PBE | optimized geometry

Output
E   -5.478 eV/atom
SG   Fmm2 (42)

Cell: 5.388 5.388 6.597 Å, 109.83 109.83 99.75°
Element x y z (fractional)
Ba: 0.031 0.031 0.062
Ga: 0.491 0.491 0.983
Pb: 0.769 0.269 0.538
Pb: 0.269 0.769 0.538
O: 0.603 0.603 0.770
O: 0.398 0.771 0.169
O: 0.771 0.398 0.169
O: 0.167 0.167 0.770

TbHo2ErSe6 | PBE | optimized geometry

Output
E   -5.775 eV/atom
SG   R3 (146)

Cell: 7.179 7.179 7.682 Å, 62.14 62.14 59.99°
Element x y z (fractional)
Tb: 0.318 0.318 0.047
Ho: 0.513 0.513 0.460
Ho: 0.014 0.014 0.958
Er: 0.819 0.819 0.544
Se: 0.614 0.221 0.252
Se: 0.221 0.913 0.252
Se: 0.913 0.614 0.252
Se: 0.417 0.723 0.750
Se: 0.723 0.109 0.750
Se: 0.109 0.417 0.750